# Er2Fe5C4, optimized geometry, DFT GGA-PBE
data_Er2Fe5C4
_space_group_name_H-M_alt 'F m m m'
_space_group_IT_number 69
_space_group_name_Hall '-F 2 2'
_cell_length_a 4.9487
_cell_length_b 9.1725
_cell_length_c 10.2562
_cell_angle_alpha 90.00
_cell_angle_beta 90.00
_cell_angle_gamma 90.00
loop_
_atom_site_label
_atom_site_fract_x
_atom_site_fract_y
_atom_site_fract_z
_atom_site_occupancy
Er1 0.0000 0.0000 0.1467 1
Fe1 0.0000 0.0000 0.5000 1
Fe2 0.2500 0.2500 0.0000 1
Fe3 0.2500 0.2500 0.2500 1
C1 0.0000 0.1600 0.3686 1
# Energy = -8.17 eV per atom
# Volume = 466 Å³/cell


# Er2Fe17C3, optimized geometry, DFT GGA-PBE
data_Er2Fe17C3
_space_group_name_H-M_alt 'R -3 m'
_space_group_IT_number 166
_space_group_name_Hall '-R 3 2"'
_cell_length_a 8.5772
_cell_length_b 8.5772
_cell_length_c 12.4760
_cell_angle_alpha 90.00
_cell_angle_beta 90.00
_cell_angle_gamma 120.00
loop_
_atom_site_label
_atom_site_fract_x
_atom_site_fract_y
_atom_site_fract_z
_atom_site_occupancy
Er1 0.0000 0.0000 0.1578 1
Fe1 0.0000 0.0000 0.4044 1
Fe2 0.0000 0.2837 0.5000 1
Fe3 0.0000 0.5000 0.0000 1
Fe4 0.0068 0.5034 0.3472 1
C1 0.0000 0.5000 0.5000 1
# Energy = -8.18 eV per atom
# Volume = 795 Å³/cell


# Er2Fe14C, optimized geometry, DFT GGA-PBE
data_Er2Fe14C
_space_group_name_H-M_alt 'P 42/m n m'
_space_group_IT_number 136
_space_group_name_Hall '-P 4n 2n'
_cell_length_a 8.6990
_cell_length_b 8.6990
_cell_length_c 11.6611
_cell_angle_alpha 90.00
_cell_angle_beta 90.00
_cell_angle_gamma 90.00
loop_
_atom_site_label
_atom_site_fract_x
_atom_site_fract_y
_atom_site_fract_z
_atom_site_occupancy
Er1 0.1437 0.1437 0.0000 1
Er2 0.2414 0.2414 0.5000 1
Fe1 0.0000 0.0000 0.3915 1
Fe2 0.0000 0.5000 0.0000 1
Fe3 0.0358 0.6424 0.1750 1
Fe4 0.0641 0.7255 0.3796 1
Fe5 0.0968 0.9032 0.2027 1
Fe6 0.1845 0.1845 0.2545 1
C1 0.1276 0.8724 0.5000 1
# Energy = -8.00 eV per atom
# Volume = 882 Å³/cell


# Er2Fe14C, optimized geometry, DFT GGA-PBE
data_Er2Fe14C
_space_group_name_H-M_alt 'P 42/m n m'
_space_group_IT_number 136
_space_group_name_Hall '-P 4n 2n'
_cell_length_a 8.6983
_cell_length_b 8.6983
_cell_length_c 11.6639
_cell_angle_alpha 90.00
_cell_angle_beta 90.00
_cell_angle_gamma 90.00
loop_
_atom_site_label
_atom_site_fract_x
_atom_site_fract_y
_atom_site_fract_z
_atom_site_occupancy
Er1 0.1439 0.1439 0.0000 1
Er2 0.2416 0.2416 0.5000 1
Fe1 0.0000 0.0000 0.3914 1
Fe2 0.0000 0.5000 0.0000 1
Fe3 0.0357 0.6425 0.1750 1
Fe4 0.0639 0.7255 0.3797 1
Fe5 0.0968 0.9032 0.2026 1
Fe6 0.1846 0.1846 0.2546 1
C1 0.1277 0.8724 0.5000 1
# Energy = -8.00 eV per atom
# Volume = 882 Å³/cell


Please write out number 3 again, unchanged.
# Er2Fe14C, optimized geometry, DFT GGA-PBE
data_Er2Fe14C
_space_group_name_H-M_alt 'P 42/m n m'
_space_group_IT_number 136
_space_group_name_Hall '-P 4n 2n'
_cell_length_a 8.6990
_cell_length_b 8.6990
_cell_length_c 11.6611
_cell_angle_alpha 90.00
_cell_angle_beta 90.00
_cell_angle_gamma 90.00
loop_
_atom_site_label
_atom_site_fract_x
_atom_site_fract_y
_atom_site_fract_z
_atom_site_occupancy
Er1 0.1437 0.1437 0.0000 1
Er2 0.2414 0.2414 0.5000 1
Fe1 0.0000 0.0000 0.3915 1
Fe2 0.0000 0.5000 0.0000 1
Fe3 0.0358 0.6424 0.1750 1
Fe4 0.0641 0.7255 0.3796 1
Fe5 0.0968 0.9032 0.2027 1
Fe6 0.1845 0.1845 0.2545 1
C1 0.1276 0.8724 0.5000 1
# Energy = -8.00 eV per atom
# Volume = 882 Å³/cell


- Which value of energy does entry 1 give?
  -8.17 eV per atom